This record from Alexandria describes a geometry-optimized V2Cu2Te7 structure. The functional is PBE-GGA.

energy = -4.4388 eV/atom
ΔE_f (raw) = -0.037 eV per atom

Unit cell a=6.630 b=7.207 c=7.207 alpha=116.96 beta=94.81 gamma=94.81
Last column: magnetic moment on the atom in μB.
Element x y z (fractional)
V: 0.000 0.320 0.680  1.61
V: 0.000 0.680 0.320  1.61
Cu: 0.366 0.329 0.329  -0.02
Cu: 0.634 0.671 0.671  -0.02
Te: 0.754 0.955 0.552  -0.11
Te: 0.246 0.448 0.045  -0.11
Te: 0.246 0.045 0.448  -0.11
Te: 0.754 0.552 0.955  -0.11
Te: 0.500 0.000 0.000  0.01
Te: 0.222 0.638 0.638  -0.07
Te: 0.778 0.362 0.362  -0.07